(1)
Sr4MgTi3O12 (PBE, relaxed); SG = Im-3m (229); spin magnetization = 1.0 Bohr magnetons per cell; energy relative to the elements, uncorrected = -2.846 eV per atom; D(E_F) = 0.70 states/eV per atom
1.0
-3.973 3.973 3.973
3.973 -3.973 3.973
3.973 3.973 -3.973
Sr Mg Ti O
4 1 3 12
Cartesian
1.987 1.987 -1.987 Sr
1.987 -1.987 1.987 Sr
-1.987 1.987 1.987 Sr
1.987 1.987 1.987 Sr
0.000 0.000 0.000 Mg
3.973 0.000 0.000 Ti
0.000 3.973 0.000 Ti
0.000 0.000 3.973 Ti
2.056 0.000 0.000 O
5.890 0.000 0.000 O
3.973 1.987 0.000 O
3.973 0.000 1.987 O
0.000 2.056 0.000 O
0.000 0.000 2.056 O
1.987 3.973 0.000 O
1.987 0.000 3.973 O
0.000 5.890 0.000 O
0.000 0.000 5.890 O
0.000 3.973 1.987 O
0.000 1.987 3.973 O


(2)
HoEr2Ag3S6 (PBE, relaxed); SG = C2/m (12); spin magnetization = 0.0 Bohr magnetons per cell; energy relative to the elements, uncorrected = -1.313 eV per atom; D(E_F) = 0.00 states/eV per atom
1.0
7.643 -2.023 0.000
7.643 2.023 0.000
-5.883 0.000 10.384
Ho Er Ag S
1 2 3 6
Cartesian
0.000 0.000 0.000 Ho
1.172 0.000 6.918 Er
8.232 0.000 3.465 Er
-2.941 0.000 5.192 Ag
4.118 0.000 1.753 Ag
5.286 0.000 8.631 Ag
-0.601 0.000 4.852 S
1.778 0.000 2.080 S
6.455 0.000 1.403 S
2.949 0.000 8.981 S
7.626 0.000 8.304 S
10.005 0.000 5.532 S


(3)
SrRe2F (PBE, relaxed); SG = I-42d (122); spin magnetization = 0.0 Bohr magnetons per cell; energy relative to the elements, uncorrected = 0.902 eV per atom; offset from the most stable computed form = 0 meV per atom; D(E_F) = 1.30 states/eV per atom
1.0
-2.298 2.298 9.272
2.298 -2.298 9.272
2.298 2.298 -9.272
Sr Re F
2 4 2
Cartesian
0.000 0.000 0.000 Sr
0.000 2.298 4.636 Sr
1.149 2.202 -2.318 Re
2.394 1.149 2.318 Re
1.149 0.096 6.954 Re
-0.096 1.149 11.590 Re
2.298 0.000 4.636 F
0.000 0.000 9.272 F


(4)
Zr2ZnIn (PBE, relaxed); SG = R-3m (166); formation energy from the elements = -0.11 eV/atom; spin magnetization = 0.0 Bohr magnetons per cell; D(E_F) = 0.55 states/eV per atom
1.0
1.625 0.938 9.488
-1.625 0.938 9.488
0.000 -1.876 9.488
Zr Zn In
2 1 1
Cartesian
0.000 0.000 6.902 Zr
0.000 0.000 21.561 Zr
0.000 0.000 14.232 Zn
0.000 0.000 0.000 In